1.
Compound: Lu2TiCu
Source: the Alexandria database
Functional: PBE
Structure: relaxed

Values from the calculation:
DOS at the Fermi energy = 1.379 states/eV/atom
total magnetization = 2.3 μB per formula unit
VASP energy = -5.177 eV per atom
DFT formation energy = 0.081 eV per atom

```
data_Lu2TiCu
_space_group_name_H-M_alt 'P 4/m m m'
_space_group_IT_number 123
_space_group_name_Hall '-P 4 2'
_cell_length_a 4.885
_cell_length_b 4.885
_cell_length_c 3.589
_cell_angle_alpha 90.00
_cell_angle_beta 90.00
_cell_angle_gamma 90.00
loop_
_atom_site_label
_atom_site_fract_x
_atom_site_fract_y
_atom_site_fract_z
_atom_site_occupancy
Lu1 0.000 0.500 0.000 1
Ti1 0.000 0.000 0.500 1
Cu1 0.500 0.500 0.500 1
```

---

2.
Compound: Lu2TiCu
Source: the Alexandria database
Functional: PBE
Structure: relaxed

Values from the calculation:
DOS at the Fermi energy = 0.848 states/eV/atom
total magnetization = 0.0 μB per formula unit
VASP energy = -5.298 eV per atom
DFT formation energy = -0.040 eV per atom

```
data_Lu2TiCu
_space_group_name_H-M_alt 'P 4/m m m'
_space_group_IT_number 123
_space_group_name_Hall '-P 4 2'
_cell_length_a 3.280
_cell_length_b 3.280
_cell_length_c 7.844
_cell_angle_alpha 90.00
_cell_angle_beta 90.00
_cell_angle_gamma 90.00
loop_
_atom_site_label
_atom_site_fract_x
_atom_site_fract_y
_atom_site_fract_z
_atom_site_occupancy
Lu1 0.000 0.000 0.229 1
Ti1 0.500 0.500 0.500 1
Cu1 0.500 0.500 0.000 1
```

---

3.
Compound: LuTiCu2
Source: the Alexandria database
Functional: PBE
Structure: relaxed

Values from the calculation:
DOS at the Fermi energy = 0.986 states/eV/atom
total magnetization = 1.0 μB per formula unit
VASP energy = -5.285 eV per atom
DFT formation energy = -0.133 eV per atom

```
data_LuTiCu2
_space_group_name_H-M_alt 'P 4/m m m'
_space_group_IT_number 123
_space_group_name_Hall '-P 4 2'
_cell_length_a 3.235
_cell_length_b 3.235
_cell_length_c 6.482
_cell_angle_alpha 90.00
_cell_angle_beta 90.00
_cell_angle_gamma 90.00
loop_
_atom_site_label
_atom_site_fract_x
_atom_site_fract_y
_atom_site_fract_z
_atom_site_occupancy
Lu1 0.000 0.000 0.000 1
Ti1 0.000 0.000 0.500 1
Cu1 0.500 0.500 0.287 1
```

---

4.
Compound: LuTiCu2
Source: the Alexandria database
Functional: PBE
Structure: relaxed

Values from the calculation:
DOS at the Fermi energy = 1.258 states/eV/atom
total magnetization = 1.3 μB per formula unit
VASP energy = -5.239 eV per atom
DFT formation energy = -0.087 eV per atom

```
data_LuTiCu2
_space_group_name_H-M_alt 'F m -3 m'
_space_group_IT_number 225
_space_group_name_Hall '-F 4 2 3'
_cell_length_a 6.494
_cell_length_b 6.494
_cell_length_c 6.494
_cell_angle_alpha 90.00
_cell_angle_beta 90.00
_cell_angle_gamma 90.00
loop_
_atom_site_label
_atom_site_fract_x
_atom_site_fract_y
_atom_site_fract_z
_atom_site_occupancy
Lu1 0.000 0.000 0.000 1
Ti1 0.000 0.000 0.500 1
Cu1 0.250 0.250 0.250 1
```

---

5.
Compound: LuTiCu2
Source: the Alexandria database
Functional: PBE
Structure: relaxed

Values from the calculation:
DOS at the Fermi energy = 1.042 states/eV/atom
total magnetization = 1.2 μB per formula unit
VASP energy = -5.247 eV per atom
DFT formation energy = -0.095 eV per atom

```
data_LuTiCu2
_space_group_name_H-M_alt 'P 4/m m m'
_space_group_IT_number 123
_space_group_name_Hall '-P 4 2'
_cell_length_a 4.573
_cell_length_b 4.573
_cell_length_c 3.259
_cell_angle_alpha 90.00
_cell_angle_beta 90.00
_cell_angle_gamma 90.00
loop_
_atom_site_label
_atom_site_fract_x
_atom_site_fract_y
_atom_site_fract_z
_atom_site_occupancy
Lu1 0.000 0.000 0.000 1
Ti1 0.500 0.500 0.000 1
Cu1 0.000 0.500 0.500 1
```

---

6.
Compound: LuTiCu4
Source: the Alexandria database
Functional: PBE
Structure: relaxed

Values from the calculation:
DOS at the Fermi energy = 1.042 states/eV/atom
total magnetization = 0.8 μB per formula unit
VASP energy = -4.881 eV per atom
DFT formation energy = -0.080 eV per atom

```
data_LuTiCu4
_space_group_name_H-M_alt 'F -4 3 m'
_space_group_IT_number 216
_space_group_name_Hall 'F -4 2 3'
_cell_length_a 7.127
_cell_length_b 7.127
_cell_length_c 7.127
_cell_angle_alpha 90.00
_cell_angle_beta 90.00
_cell_angle_gamma 90.00
loop_
_atom_site_label
_atom_site_fract_x
_atom_site_fract_y
_atom_site_fract_z
_atom_site_occupancy
Lu1 0.000 0.000 0.000 1
Ti1 0.250 0.250 0.750 1
Cu1 0.124 0.124 0.376 1
```

---

7.
Compound: LuTiTlCu
Source: the Alexandria database
Functional: PBE
Structure: relaxed

Values from the calculation:
DOS at the Fermi energy = 0.574 states/eV/atom
total magnetization = 1.3 μB per formula unit
VASP energy = -4.725 eV per atom
DFT formation energy = -0.005 eV per atom

```
data_LuTiTlCu
_space_group_name_H-M_alt 'F -4 3 m'
_space_group_IT_number 216
_space_group_name_Hall 'F -4 2 3'
_cell_length_a 6.876
_cell_length_b 6.876
_cell_length_c 6.876
_cell_angle_alpha 90.00
_cell_angle_beta 90.00
_cell_angle_gamma 90.00
loop_
_atom_site_label
_atom_site_fract_x
_atom_site_fract_y
_atom_site_fract_z
_atom_site_occupancy
Lu1 0.000 0.000 0.000 1
Ti1 0.000 0.000 0.500 1
Tl1 0.250 0.250 0.250 1
Cu1 0.250 0.250 0.750 1
```

---

8.
Compound: LuTlCu
Source: the Alexandria database
Functional: PBE
Structure: relaxed

Values from the calculation:
DOS at the Fermi energy = 1.341 states/eV/atom
total magnetization = 0.0 μB per formula unit
VASP energy = -3.817 eV per atom
DFT formation energy = -0.156 eV per atom

```
data_LuTlCu
_space_group_name_H-M_alt 'F -4 3 m'
_space_group_IT_number 216
_space_group_name_Hall 'F -4 2 3'
_cell_length_a 6.493
_cell_length_b 6.493
_cell_length_c 6.493
_cell_angle_alpha 90.00
_cell_angle_beta 90.00
_cell_angle_gamma 90.00
loop_
_atom_site_label
_atom_site_fract_x
_atom_site_fract_y
_atom_site_fract_z
_atom_site_occupancy
Lu1 0.000 0.000 0.000 1
Tl1 0.000 0.000 0.500 1
Cu1 0.250 0.250 0.750 1
```